No. 1
# Al2RhAu

Al2RhAu after structural relaxation (PBE-GGA, Alexandria).

a b c (Å): 8.3354 8.3354 8.3354
angles (deg): 20.58 20.58 20.58
Fractional coordinates of all 4 atoms:
1 Al 0.0061 0.0061 0.0061
2 Al 0.4939 0.4939 0.4939
3 Rh 0.7500 0.7500 0.7500
4 Au 0.2500 0.2500 0.2500

space group	R-3m
ΔE to the lowest computed polymorph	4.25	kcal/mol of atoms
ΔE_f	-47.7	kJ/mol of atoms

---

No. 2
# Ba3Sm2UN6

Ba3Sm2UN6 after structural relaxation (PBE-GGA, Alexandria).

a b c (Å): 6.3436 6.3436 6.7367
angles (deg): 98.90 98.90 119.78
Fractional coordinates of all 12 atoms:
1 U 0.0000 0.0000 0.0000
2 Sm 0.6659 0.3341 0.0000
3 Sm 0.3341 0.6659 0.0000
4 N 0.9372 0.6414 0.8136
5 N 0.2381 0.2381 0.7975
6 N 0.6414 0.9372 0.8136
7 N 0.0628 0.3586 0.1864
8 N 0.3586 0.0628 0.1864
9 N 0.7619 0.7619 0.2025
10 Ba 0.1695 0.8305 0.5000
11 Ba 0.8305 0.1695 0.5000
12 Ba 0.5000 0.5000 0.5000

space group	C2/m
uncorrected formation energy	-1.048	eV per atom

---

No. 3
# ThCu6

ThCu6 after structural relaxation (PBE-GGA, Alexandria).

a b c (Å): 5.4190 5.4190 5.4190
angles (deg): 90.00 90.00 90.00
Last column: magnetic moment on the atom in μB.
Fractional coordinates of all 7 atoms:
1 Cu 0.1966 0.5000 0.5000  0.01
2 Cu 0.5000 0.5000 0.1966  0.01
3 Cu 0.5000 0.5000 0.8034  0.01
4 Cu 0.5000 0.1966 0.5000  0.01
5 Cu 0.5000 0.8034 0.5000  0.01
6 Cu 0.8034 0.5000 0.5000  0.01
7 Th 0.0000 0.0000 0.0000  0.15

space group	Pm-3m
ΔE to the lowest computed polymorph	24.88	kcal/mol of atoms
ΔE_f	90.3	kJ/mol of atoms

---

No. 4
# ZrCuI2N

ZrCuI2N after structural relaxation (PBE-GGA, Alexandria).

a b c (Å): 5.9179 5.9179 4.0009
angles (deg): 90.00 90.00 90.00
Fractional coordinates of all 5 atoms:
1 N 0.0000 0.0000 0.5000
2 I 0.0000 0.5000 0.0000
3 I 0.5000 0.0000 0.0000
4 Cu 0.5000 0.5000 0.5000
5 Zr 0.0000 0.0000 0.0000

space group	P4/mmm
uncorrected formation energy	0.132	eV per atom
ΔE to the lowest computed polymorph	0.00	kcal/mol of atoms

---

No. 5
# PrGe3Ir2

PrGe3Ir2 after structural relaxation (PBE-GGA, Alexandria).

a b c (Å): 5.7125 6.3692 6.3692
angles (deg): 103.34 90.00 90.00
Fractional coordinates of all 12 atoms:
1 Ge 0.2500 0.5514 0.8915
2 Ge 0.7500 0.1085 0.4486
3 Ge 0.2500 0.8915 0.5514
4 Ge 0.7500 0.0330 0.0330
5 Ge 0.7500 0.4486 0.1085
6 Ge 0.2500 0.9670 0.9670
7 Pr 0.7500 0.6641 0.6641
8 Pr 0.2500 0.3359 0.3359
9 Ir 0.5000 0.7735 0.2265
10 Ir 0.5000 0.2265 0.7735
11 Ir 0.0000 0.7735 0.2265
12 Ir 0.0000 0.2265 0.7735

space group	Cmcm
ΔE to the lowest computed polymorph	2.31	kcal/mol of atoms
ΔE_f	-40.6	kJ/mol of atoms

---

No. 6
# BeNiW

BeNiW after structural relaxation (PBE-GGA, Alexandria).

a b c (Å): 4.0294 4.8527 3.9356
angles (deg): 66.09 90.00 89.98
Fractional coordinates of all 6 atoms:
1 Ni 0.3663 0.6710 0.6066
2 Ni 0.8663 0.0787 0.4030
3 Be 0.8657 0.3578 0.7633
4 Be 0.3661 0.3919 0.2462
5 W 0.3659 0.0494 0.9177
6 W 0.8661 0.7002 0.0919

space group	Cmcm
ΔE to the lowest computed polymorph	5.39	kcal/mol of atoms
ΔE_f	-0.8	kJ/mol of atoms